Material: La4OsRh
Method: DFT, PBE
State: optimized geometry

## Properties
Energy   -80.7 eV per cell
DOS(E_F)   8.42 states/eV per cell
M_tot   0.000 μB per formula unit
Energy relative to the elements   -2.07 eV per formula unit
Energy above the most stable polymorph in this dataset   1.8 kJ/mol of atoms

The structure in extended XYZ format:
```
12
Lattice="4.321 -7.741 0.000 4.321 7.741 0.000 -4.320 0.000 5.671" Properties=species:S:1:pos:R:3 pbc="T T T"
La -1.070 3.106 4.225
La 1.038 0.791 1.433
La -1.121 -0.791 4.268
La 1.090 -3.106 1.390
La 3.231 3.106 4.281
La 5.443 0.791 1.403
La 3.283 -0.791 4.238
La 5.391 -3.106 1.446
Os 1.081 5.278 4.253
Os 3.241 -5.278 1.418
Rh 3.241 2.505 1.418
Rh 1.081 -2.505 4.253
```